{"formula": "Ba2Co", "functional": "PBE", "state": "optimized geometry", "lattice_angstrom": [[0.0000, 4.9651, 4.9651], [4.9651, 0.0000, 4.9651], [4.9651, 4.9651, 0.0000]], "species": ["Ba", "Ba", "Ba", "Ba", "Co", "Co"], "fractional_positions": [[0.6250, 0.1250, 0.1250], [0.1250, 0.6250, 0.1250], [0.1250, 0.1250, 0.6250], [0.1250, 0.1250, 0.1250], [0.5000, 0.5000, 0.5000], [0.7500, 0.7500, 0.7500]], "delta_e_f_ev_per_atom": 1.34, "dos_ef_per_ev_fu": 8.13}